No. 1
Computed, not measured: BeCo after structural relaxation at the PBE-GGA level of DFT.

## Properties
SG: Fm-3m
Total moment: 0.31 μB/atom
VASP energy: -10.3 eV for the cell shown
Calculated density: 5.90 g/cm3

Lattice parameters (Å, degrees): 3.0019 3.0019 3.0019 60.00 60.00 60.00
Atoms (fractional coordinates):
Co 0.5000 0.5000 0.5000
Be 0.0000 0.0000 0.0000

***

No. 2
Computed, not measured: BeCo after structural relaxation at the PBE-GGA level of DFT.

## Properties
SG: R-3m
Total moment: 0.01 μB/atom
VASP energy: -11.1 eV for the cell shown
Calculated density: 6.25 g/cm3

Lattice parameters (Å, degrees): 3.8123 3.8123 3.8123 37.09 37.09 37.09
Atoms (fractional coordinates):
Be 0.0000 0.0000 0.0000
Co 0.5000 0.5000 0.5000

***

No. 3
Computed, not measured: BeCo2 after structural relaxation at the PBE-GGA level of DFT.

## Properties
SG: Fd-3m
Total moment: 0.78 μB/atom
VASP energy: -34.0 eV for the cell shown
Calculated density: 6.45 g/cm3

Lattice parameters (Å, degrees): 4.5218 4.5218 4.5218 60.00 60.00 60.00
Each line ends with the local moment (μB).
Atoms (fractional coordinates):
Co 0.6250 0.6250 0.6250  1.32
Co 0.1250 0.6250 0.6250  0.92
Co 0.6250 0.1250 0.6250  1.31
Co 0.6250 0.6250 0.1250  1.37
Be 0.2500 0.2500 0.2500  -0.06
Be 0.0000 0.0000 0.0000  -0.06

***

No. 4
Computed, not measured: BeCo3 after structural relaxation at the PBE-GGA level of DFT.

## Properties
SG: I4/mmm
Total moment: 0.01 μB/atom
VASP energy: -25.0 eV for the cell shown
Calculated density: 7.70 g/cm3

Lattice parameters (Å, degrees): 4.2680 4.2680 4.2680 133.60 133.60 67.71
Each line ends with the local moment (μB).
Atoms (fractional coordinates):
Co 0.5000 0.5000 0.0000  1.44
Co 0.2500 0.7500 0.5000  1.44
Co 0.7500 0.2500 0.5000  1.44
Be 0.0000 0.0000 0.0000  -0.08

***

No. 5
Computed, not measured: BeCo5 after structural relaxation at the PBE-GGA level of DFT.

## Properties
SG: P6/mmm
Total moment: 1.33 μB/atom
VASP energy: -36.9 eV for the cell shown
Calculated density: 7.06 g/cm3

Lattice parameters (Å, degrees): 4.4919 4.4919 4.0848 90.00 90.00 120.00
Each line ends with the local moment (μB).
Atoms (fractional coordinates):
Co 0.6667 0.3333 0.0000  1.52
Co 0.3333 0.6667 0.0000  1.52
Co 0.5000 0.0000 0.5000  1.73
Co 0.5000 0.5000 0.5000  1.88
Co 0.0000 0.5000 0.5000  1.46
Be 0.0000 0.0000 0.0000  -0.05

***

No. 6
Computed, not measured: CsBe2Co after structural relaxation at the PBE-GGA level of DFT.

## Properties
SG: P222_1
Total moment: 0.00 μB/atom
VASP energy: -25.1 eV for the cell shown
Calculated density: 4.07 g/cm3

Lattice parameters (Å, degrees): 3.7416 6.7304 6.8042 90.00 90.00 90.00
Atoms (fractional coordinates):
Be 0.5000 0.9599 0.2500
Be 0.0527 0.0000 0.0000
Be 0.5000 0.0401 0.7500
Be 0.9473 0.0000 0.5000
Co 0.0000 0.1686 0.7500
Co 0.0000 0.8314 0.2500
Cs 0.7297 0.5000 0.0000
Cs 0.2703 0.5000 0.5000

***

No. 7
Computed, not measured: CsBeCoMo after structural relaxation at the PBE-GGA level of DFT.

## Properties
SG: F-43m
Total moment: 0.00 μB/atom
VASP energy: -15.2 eV for the cell shown
Calculated density: 7.37 g/cm3

Lattice parameters (Å, degrees): 4.5558 4.5558 4.5558 60.00 60.00 60.00
Atoms (fractional coordinates):
Mo 0.2500 0.2500 0.2500
Be 0.7500 0.7500 0.7500
Co 0.0000 0.0000 0.0000
Cs 0.5000 0.5000 0.5000

***

No. 8
Computed, not measured: CsBeCoMo after structural relaxation at the PBE-GGA level of DFT.

## Properties
SG: F-43m
Total moment: 0.05 μB/atom
VASP energy: -15.1 eV for the cell shown
Calculated density: 7.57 g/cm3

Lattice parameters (Å, degrees): 4.5151 4.5151 4.5151 60.00 60.00 60.00
Atoms (fractional coordinates):
Co 0.5000 0.5000 0.5000
Cs 0.2500 0.2500 0.2500
Be 0.7500 0.7500 0.7500
Mo 0.0000 0.0000 0.0000